SiRh7, relaxed, DFT PBE-GGA; V = 111.2 Å³ per cell; electronic total energy = -7.32 eV per atom
1.0
5.397 0.000 0.000
2.699 4.674 0.000
2.699 1.558 4.407
Rh Si
7 1
direct
0.500 0.000 0.500
0.000 0.500 0.500
0.000 0.000 0.500
0.000 0.500 0.000
0.500 0.000 0.000
0.500 0.500 0.000
0.500 0.500 0.500
0.000 0.000 0.000